No. 1
Computed, not measured: a relaxed RbVCl6 crystal at the GGA-PBE level of DFT.

Summary:
The formation energy from raw total energies comes out at -1215 meV per atom. The relative energy among the computed polymorphs is 7 meV per atom.

a = 6.8172 Å, b = 6.8172 Å, c = 18.5412 Å
α = 90.00°, β = 90.00°, γ = 120.00°
Space group R-3m (No. 166, hexagonal axes)
Inequivalent atoms, fractional coordinates:
Rb 0.0000 0.0000 0.0000 (multiplicity 3)
V 0.0000 0.0000 0.5000 (multiplicity 3)
Cl 0.0183 0.5091 0.0958 (multiplicity 18)



No. 2
Computed, not measured: a relaxed RbVCl6 crystal at the GGA-PBE level of DFT.

Summary:
The formation energy from raw total energies comes out at -1222 meV per atom. The relative energy among the computed polymorphs is 0 meV per atom.

a = 9.842 Å, b = 7.718 Å, c = 7.968 Å
α = 90.00°, β = 122.64°, γ = 90.00°
Space group C2/m (No. 12)
Inequivalent atoms, fractional coordinates:
Rb 0.000 0.000 0.000 (multiplicity 2)
V 0.000 0.500 0.500 (multiplicity 2)
Cl 0.118 0.290 0.741 (multiplicity 8)
Cl 0.217 0.500 0.476 (multiplicity 4)



No. 3
Computed, not measured: a relaxed Rb2VCl7 crystal at the GGA-PBE level of DFT.

Summary:
The calculation puts the density of states at the Fermi level at 31.78 states/eV/cell. The formation energy from raw total energies comes out at -1254 meV per atom. The relative energy among the computed polymorphs is 0 meV per atom.

a = 16.832 Å, b = 7.614 Å, c = 12.399 Å
α = 90.00°, β = 129.07°, γ = 90.00°
Space group C2/c (No. 15)
Inequivalent atoms, fractional coordinates:
Rb 0.131 0.172 0.044 (multiplicity 8)
V 0.000 0.281 0.250 (multiplicity 4)
Cl 0.000 0.401 0.750 (multiplicity 4)
Cl 0.081 0.280 0.482 (multiplicity 8)
Cl 0.096 0.019 0.270 (multiplicity 8)
Cl 0.158 0.385 0.302 (multiplicity 8)



No. 4
Computed, not measured: a relaxed Rb2V3Cl9 crystal at the GGA-PBE level of DFT.

Summary:
The calculation puts the density of states at the Fermi level at 39.16 states/eV/cell. The formation energy from raw total energies comes out at -1371 meV per atom.

a = 10.751 Å, b = 17.150 Å, c = 9.935 Å
α = 90.00°, β = 117.31°, γ = 90.00°
Space group C2/m (No. 12)
Inequivalent atoms, fractional coordinates:
Rb 0.096 0.160 0.304 (multiplicity 8)
V 0.127 0.500 0.855 (multiplicity 4)
V 0.151 0.402 0.161 (multiplicity 8)
Cl 0.000 0.302 0.000 (multiplicity 4)
Cl 0.024 0.402 0.303 (multiplicity 8)
Cl 0.195 0.000 0.679 (multiplicity 4)
Cl 0.196 0.195 0.673 (multiplicity 8)
Cl 0.221 0.099 0.983 (multiplicity 8)
Cl 0.246 0.000 0.284 (multiplicity 4)



No. 5
Computed, not measured: a relaxed Rb4V3Cl10 crystal at the GGA-PBE level of DFT.

Summary:
The calculation puts the density of states at the Fermi level at 4.29 states/eV/cell. The formation energy from raw total energies comes out at -1502 meV per atom.

a = 5.019 Å, b = 5.019 Å, c = 36.330 Å
α = 90.00°, β = 90.00°, γ = 90.00°
Space group I4/mmm (No. 139)
Inequivalent atoms, fractional coordinates:
Rb 0.000 0.000 0.068 (multiplicity 4)
Rb 0.000 0.000 0.200 (multiplicity 4)
V 0.000 0.000 0.360 (multiplicity 4)
V 0.000 0.000 0.500 (multiplicity 2)
Cl 0.000 0.000 0.292 (multiplicity 4)
Cl 0.000 0.000 0.431 (multiplicity 4)
Cl 0.000 0.500 0.000 (multiplicity 4)
Cl 0.000 0.500 0.137 (multiplicity 8)



No. 6
Computed, not measured: a relaxed Rb2VCl crystal at the GGA-PBE level of DFT.

Summary:
The calculation puts the density of states at the Fermi level at 24.29 states/eV/cell. The formation energy from raw total energies comes out at 214 meV per atom. The relative energy among the computed polymorphs is 79 meV per atom.

a = 8.770 Å, b = 8.770 Å, c = 8.770 Å
α = 90.00°, β = 90.00°, γ = 90.00°
Space group Fm-3m (No. 225)
Inequivalent atoms, fractional coordinates:
Rb 0.250 0.250 0.250 (multiplicity 8)
V 0.000 0.000 0.000 (multiplicity 4)
Cl 0.000 0.000 0.500 (multiplicity 4)



No. 7
Computed, not measured: a relaxed RbYVCl6 crystal at the GGA-PBE level of DFT.

Summary:
The formation energy from raw total energies comes out at -1859 meV per atom.

a = 6.6735 Å, b = 6.6735 Å, c = 14.9374 Å
α = 90.00°, β = 90.00°, γ = 120.00°
Space group P-31c (No. 163)
Inequivalent atoms, fractional coordinates:
Rb 0.0000 0.0000 0.0000 (multiplicity 2)
Y 0.3333 0.6667 0.2500 (multiplicity 2)
V 0.3333 0.6667 0.7500 (multiplicity 2)
Cl 0.0182 0.3765 0.6514 (multiplicity 12)



No. 8
Computed, not measured: a relaxed Rb2VZnCl6 crystal at the GGA-PBE level of DFT.

Summary:
The calculation puts the density of states at the Fermi level at 0.04 states/eV/cell. The formation energy from raw total energies comes out at -1383 meV per atom.

a = 7.373 Å, b = 7.373 Å, c = 9.094 Å
α = 90.00°, β = 90.00°, γ = 90.00°
Space group I4/mmm (No. 139)
Inequivalent atoms, fractional coordinates:
Rb 0.000 0.500 0.250 (multiplicity 4)
V 0.000 0.000 0.000 (multiplicity 2)
Zn 0.000 0.000 0.500 (multiplicity 2)
Cl 0.000 0.000 0.260 (multiplicity 4)
Cl 0.242 0.242 0.000 (multiplicity 8)



No. 9
Computed, not measured: a relaxed RbW3Cl9 crystal at the GGA-PBE level of DFT.

Summary:
The calculation puts the density of states at the Fermi level at 10.53 states/eV/cell. The formation energy from raw total energies comes out at -961 meV per atom.

a = 9.6847 Å, b = 9.6847 Å, c = 8.6346 Å
α = 90.00°, β = 90.00°, γ = 120.00°
Space group P-3 (No. 147)
Inequivalent atoms, fractional coordinates:
Rb 0.3333 0.6667 0.0030 (multiplicity 2)
W 0.0016 0.8227 0.6224 (multiplicity 6)
Cl 0.0018 0.8040 0.1898 (multiplicity 6)
Cl 0.0031 0.6167 0.7981 (multiplicity 6)
Cl 0.2039 0.4142 0.5002 (multiplicity 6)



No. 10
Computed, not measured: a relaxed Rb2W3Cl9 crystal at the GGA-PBE level of DFT.

Summary:
The calculation puts the density of states at the Fermi level at 12.56 states/eV/cell. The formation energy from raw total energies comes out at -1054 meV per atom.

a = 10.571 Å, b = 17.307 Å, c = 9.847 Å
α = 90.00°, β = 117.40°, γ = 90.00°
Space group C2/m (No. 12)
Inequivalent atoms, fractional coordinates:
Rb 0.116 0.157 0.325 (multiplicity 8)
W 0.125 0.500 0.896 (multiplicity 4)
W 0.128 0.412 0.120 (multiplicity 8)
Cl 0.000 0.294 0.000 (multiplicity 4)
Cl 0.025 0.405 0.299 (multiplicity 8)
Cl 0.195 0.000 0.685 (multiplicity 4)
Cl 0.203 0.189 0.692 (multiplicity 8)
Cl 0.205 0.105 0.985 (multiplicity 8)
Cl 0.247 0.000 0.267 (multiplicity 4)